Density functional theory data (meta-GGA SCAN) for a crystal of PrAlGe relaxed with PBEsol.

Properties
Crystal system ... tetragonal
ΔE_f ... -0.7702 eV/atom
Magnetization ... 0.00 μB/f.u.

Cell: 4.2400 4.2400 7.9221 Å, 105.51 105.51 90.00°
Sites, in units of the cell vectors:
Ge 0.9171 0.4170 0.8340
Ge 0.6670 0.6671 0.3340
Al 0.8330 0.8331 0.6662
Al 0.0831 0.5830 0.1662
Pr 0.2490 0.2489 0.4979
Pr 0.4989 0.9990 0.9979

Density functional theory data (meta-GGA SCAN) for a crystal of PrAl2Ge2 relaxed with PBEsol.

Properties
Crystal system ... trigonal
ΔE_f ... -0.5053 eV/atom
Magnetization ... 0.00 μB/f.u.

Cell: 4.2646 4.2646 6.8248 Å, 90.00 90.00 120.00°
Sites, in units of the cell vectors:
Ge 0.6667 0.3333 0.7328
Ge 0.3333 0.6667 0.2672
Pr 0.0000 0.0000 0.0000
Al 0.3333 0.6667 0.6417
Al 0.6667 0.3333 0.3583

Density functional theory data (meta-GGA SCAN) for a crystal of Pr2AlGe6 relaxed with PBEsol.

Properties
Crystal system ... monoclinic
ΔE_f ... -0.5028 eV/atom
Magnetization ... 0.00 μB/f.u.

Cell: 6.0099 6.0099 10.6237 Å, 98.14 98.14 92.10°
Sites, in units of the cell vectors:
Ge 0.3634 0.3634 0.4150
Ge 0.4902 0.4902 0.1153
Ge 0.5057 0.9316 0.8847
Ge 0.9295 0.9295 0.8852
Ge 0.0684 0.4943 0.1153
Ge 0.0705 0.0705 0.1148
Ge 0.5098 0.5098 0.8847
Ge 0.6366 0.6366 0.5850
Ge 0.9316 0.5057 0.8847
Ge 0.4943 0.0684 0.1153
Ge 0.8536 0.8536 0.4391
Ge 0.1464 0.1464 0.5609
Pr 0.1598 0.6649 0.6635
Pr 0.8402 0.3351 0.3365
Pr 0.3351 0.8402 0.3365
Pr 0.6649 0.1598 0.6635
Al 0.8012 0.8012 0.1960
Al 0.1988 0.1988 0.8040

Density functional theory data (meta-GGA SCAN) for a crystal of Al2SiGePt relaxed with PBEsol.

Properties
Crystal system ... tetragonal
Formation energy without anion corrections ... 843 meV/atom
Magnetization ... 0.00 μB/f.u.

Cell: 4.7207 4.7207 4.6809 Å, 90.00 90.00 90.00°
Sites, in units of the cell vectors:
Pt 0.0000 0.0000 0.5000
Al 0.5000 0.0000 0.0000
Al 0.0000 0.5000 0.0000
Si 0.5000 0.5000 0.5000
Ge 0.0000 0.0000 0.0000

no.,volume (Å³ per cell),DOS(E_F) (states/eV/atom),E (eV per cell)
1,131.84,0.070,-145.0
2,107.49,0.295,-99.5
3,375.39,0.297,-426.9
4,104.31,0.603,-110.6